Entry 1:
Zr2SiRh | PBE | optimized geometry

Lattice parameters (Å, degrees): 5.491 3.952 7.349 90.00 110.75 90.00
Fractional coordinates of all 8 atoms:
Zr1 0.206 0.250 0.432
Zr2 0.211 0.250 0.917
Zr3 0.789 0.750 0.083
Zr4 0.794 0.750 0.568
Si1 0.332 0.750 0.206
Si2 0.668 0.250 0.794
Rh1 0.353 0.750 0.706
Rh2 0.647 0.250 0.294

Results
uncorrected energy = -8.27 eV/atom
ΔE_f (raw) = -799 meV/atom
DOS at the Fermi energy = 0.93 states/eV/atom

***

Entry 2:
ZrSiRh | PBE | optimized geometry

Lattice parameters (Å, degrees): 5.694 5.694 5.694 149.31 149.31 43.96
Fractional coordinates of all 3 atoms:
Zr1 0.000 0.000 0.000
Si1 0.317 0.317 0.000
Rh1 0.697 0.697 0.000

Results
uncorrected energy = -7.87 eV/atom
ΔE_f (raw) = -764 meV/atom
DOS at the Fermi energy = 0.79 states/eV/atom

***

Entry 3:
Zr2SiRh | PBE | optimized geometry

Lattice parameters (Å, degrees): 4.269 4.269 3.892 90.00 90.00 90.00
Fractional coordinates of all 4 atoms:
Zr1 0.000 0.500 0.000
Zr2 0.500 0.000 0.000
Si1 0.000 0.000 0.500
Rh1 0.500 0.500 0.500

Results
uncorrected energy = -8.11 eV/atom
ΔE_f (raw) = -641 meV/atom
DOS at the Fermi energy = 0.97 states/eV/atom